Crystalline Ba2AgTe2F at its relaxed geometry. Source: Alexandria via LeMat-Bulk, functional GGA-PBE.

The structure in CIF format:
```
data_Ba2AgTe2F
_chemical_formula_sum 'Ba2 Ag1 Te2 F1'
_cell_length_a 3.839
_cell_length_b 3.839
_cell_length_c 16.816
_cell_angle_alpha 90.00
_cell_angle_beta 90.00
_cell_angle_gamma 90.00
_space_group_name_H-M_alt 'P 4/m m m'
_space_group_IT_number 123
_space_group_name_Hall '-P 4 2'
loop_
_atom_site_label
_atom_site_fract_x
_atom_site_fract_y
_atom_site_fract_z
_atom_site_occupancy
Ba1 0.000 0.000 0.146 1
Ag1 0.000 0.000 0.500 1
Te1 0.000 0.000 0.343 1
F1 0.000 0.000 0.000 1
```

## Properties
Its formation energy (no corrections) is -0.723 eV/atom. The calculation puts the spin magnetization at 0.0 μB per formula unit. The volume comes out at 41.3 A^3/atom.